(1)
DFT (GGA-PBE) results for a geometry-optimized FeIrOs2 structure.

Unit cell a=2.682 b=2.682 c=9.064 alpha=90.00 beta=90.00 gamma=118.48
Element x y z (fractional)
Fe (0.000, 0.000, 0.000)
Ir (0.500, 0.500, 0.240)
Os (0.000, 0.000, 0.503)
Os (0.500, 0.500, 0.759)

Formation energy from the elements (meV per atom): 430
Offset from the most stable computed form (meV per atom): 395
D(E_F) (states/eV/atom): 1.11



(2)
DFT (GGA-PBE) results for a geometry-optimized FeIr6Os2 structure.

Unit cell a=4.706 b=4.706 c=8.183 alpha=107.19 beta=107.19 gamma=48.03
Element x y z (fractional)
Fe (0.000, 0.000, 0.000)
Ir (0.000, 0.000, 0.331)
Ir (0.000, 0.000, 0.669)
Ir (0.331, 0.331, 0.440)
Ir (0.338, 0.338, 0.788)
Ir (0.662, 0.662, 0.212)
Ir (0.669, 0.669, 0.560)
Os (0.329, 0.329, 0.108)
Os (0.671, 0.671, 0.892)

Formation energy from the elements (meV per atom): 15
Offset from the most stable computed form (meV per atom): 0
D(E_F) (states/eV/atom): 0.90



(3)
DFT (GGA-PBE) results for a geometry-optimized FeIrOs2 structure.

Unit cell a=8.848 b=8.848 c=8.848 alpha=17.69 beta=17.69 gamma=17.69
Element x y z (fractional)
Fe (0.000, 0.000, 0.000)
Ir (0.748, 0.748, 0.748)
Os (0.251, 0.251, 0.251)
Os (0.501, 0.501, 0.501)

Formation energy from the elements (meV per atom): 107
Offset from the most stable computed form (meV per atom): 72
D(E_F) (states/eV/atom): 1.10



(4)
DFT (GGA-PBE) results for a geometry-optimized Fe4Ir3Os2 structure.

Unit cell a=5.870 b=5.870 c=5.988 alpha=107.83 beta=107.83 gamma=37.36
Element x y z (fractional)
Fe (0.168, 0.168, 0.006)
Fe (0.278, 0.278, 0.660)
Fe (0.722, 0.722, 0.340)
Fe (0.832, 0.832, 0.994)
Ir (0.384, 0.384, 0.326)
Ir (0.500, 0.500, 0.000)
Ir (0.616, 0.616, 0.674)
Os (0.061, 0.061, 0.340)
Os (0.939, 0.939, 0.660)

Formation energy from the elements (meV per atom): 49
D(E_F) (states/eV/atom): 1.08